A:
A geometry-optimized CdGa2Ag2 structure. Source: Alexandria, functional PBE.

Values from the calculation:
space-group type = I4/mmm

Unit cell a=3.7863 b=3.7863 c=7.3658 alpha=75.11 beta=75.11 gamma=90.00
Last column: nearest neighbours and their distance in Å.
Positions (direct):
Ga 0.7500 0.2500 0.5000  4 Ga 2.68, 4 Ag 2.78
Ga 0.2500 0.7500 0.5000  4 Ga 2.68, 4 Ag 2.78
Ag 0.3983 0.3983 0.2034  4 Ga 2.78, 1 Ag 2.79, 4 Cd 3.02
Ag 0.6017 0.6017 0.7966  4 Ga 2.78, 1 Ag 2.79, 4 Cd 3.02
Cd 0.0000 0.0000 0.0000  8 Ag 3.02

B:
A geometry-optimized CdGa2Ag2 structure. Source: Alexandria, functional PBE.

Values from the calculation:
space-group type = P4/mbm

Unit cell a=8.2052 b=8.2052 c=2.8726 alpha=90.00 beta=90.00 gamma=90.00
Last column: nearest neighbours and their distance in Å.
Positions (direct):
Ga 0.3828 0.8828 0.0000  3 Ga 2.72-2.87, 6 Ag 2.73-2.90
Ga 0.8828 0.6172 0.0000  3 Ga 2.72-2.87, 6 Ag 2.73-2.90
Ga 0.6172 0.1172 0.0000  3 Ga 2.72-2.87, 6 Ag 2.73-2.90
Ga 0.1172 0.3828 0.0000  3 Ga 2.72-2.87, 6 Ag 2.73-2.90
Ag 0.1824 0.6824 0.5000  6 Ga 2.73-2.90, 2 Ag 2.87
Ag 0.6824 0.8176 0.5000  6 Ga 2.73-2.90, 2 Ag 2.87
Ag 0.8176 0.3176 0.5000  6 Ga 2.73-2.90, 2 Ag 2.87
Ag 0.3176 0.1824 0.5000  6 Ga 2.73-2.90, 2 Ag 2.87
Cd 0.0000 0.0000 0.0000  2 Cd 2.87
Cd 0.5000 0.5000 0.0000  2 Cd 2.87

Which of them is the most stable, and which is the least stable? B and A, in that order.